# 1
{
  "formula": "CrMoOs",
  "functional": "PBE-GGA",
  "state": "relaxed",
  "relative_energy_ev_per_fu": 1.40,
  "delta_e_f_ev_per_atom": 0.6113,
  "crystal_system": "cubic",
  "volume_a3_per_cell": 47.7,
  "cell": [[0.0000, 2.8789, 2.8789], [2.8789, 0.0000, 2.8789], [2.8789, 2.8789, 0.0000]],
  "species": ["Cr", "Mo", "Os"],
  "fractional_positions": [[0.0000, 0.0000, 0.0000], [0.7500, 0.7500, 0.7500], [0.2500, 0.2500, 0.2500]]
}



# 2
{
  "formula": "CsErF4",
  "functional": "PBE-GGA",
  "state": "relaxed",
  "relative_energy_ev_per_fu": 0.00,
  "crystal_system": "orthorhombic",
  "formation_energy_uncorrected_kj_per_mol_atoms": -359.6,
  "volume_a3_per_cell": 269.9,
  "cell": [[2.1996, -9.0224, 0.0000], [2.1996, 9.0224, 0.0000], [0.0000, 0.0000, 6.7995]],
  "species": ["Cs", "Cs", "Er", "Er", "F", "F", "F", "F", "F", "F", "F", "F"],
  "fractional_positions": [[0.1848, 0.8152, 0.7500], [0.8152, 0.1848, 0.2500], [0.4215, 0.5785, 0.7500], [0.5785, 0.4215, 0.2500], [0.0725, 0.9275, 0.2500], [0.3352, 0.6648, 0.5387], [0.3352, 0.6648, 0.9613], [0.5000, 0.5000, 0.0000], [0.5000, 0.5000, 0.5000], [0.6648, 0.3352, 0.0387], [0.6648, 0.3352, 0.4613], [0.9275, 0.0725, 0.7500]]
}



# 3
{
  "formula": "GaHg2Pb",
  "functional": "PBE-GGA",
  "state": "relaxed",
  "delta_e_f_ev_per_atom": 0.0691,
  "crystal_system": "trigonal",
  "volume_a3_per_cell": 106.7,
  "cell": [[1.6826, 0.9714, 10.8839], [-1.6826, 0.9714, 10.8839], [0.0000, -1.9429, 10.8839]],
  "species": ["Ga", "Hg", "Hg", "Pb"],
  "fractional_positions": [[0.0000, 0.0000, 0.0000], [0.4057, 0.4057, 0.4057], [0.5943, 0.5943, 0.5943], [0.5000, 0.5000, 0.5000]]
}